Here is CaSc2Mo after structural relaxation from Alexandria via LeMat-Bulk. Energies are from PBE.

abc: 3.6162 3.6179 7.6111
angles: 90.00 90.00 90.00
Sites, in units of the cell vectors:
Mo  0.5000  0.5000  0.8193
Sc  0.0000  0.0000  0.9527
Sc  0.5000  0.5000  0.1872
Ca  0.0000  0.0000  0.5408

The calculation puts the polymorph energy (0 for the lowest one) at 0.145 eV/atom. The calculation puts the formation energy at 1.25 eV/f.u. The total energy comes out at -6.06 eV per atom. As for the crystal system: tetragonal. The volume is 99.6 Å³ per cell.



Here is CaSc2Mo after structural relaxation from Alexandria via LeMat-Bulk. Energies are from PBE.

abc: 4.9468 3.1536 6.3797
angles: 75.67 90.00 90.00
Sites, in units of the cell vectors:
Mo  0.5000  0.9111  0.8027
Ca  0.0000  0.5499  0.5255
Sc  0.0000  0.8224  0.9802
Sc  0.5000  0.2165  0.1917

The calculation puts the polymorph energy (0 for the lowest one) at 0.172 eV/atom. The calculation puts the formation energy at 1.35 eV/f.u. The total energy comes out at -6.04 eV per atom. As for the crystal system: orthorhombic. The volume is 96.4 Å³ per cell.



Here is CaSc2Mo after structural relaxation from Alexandria via LeMat-Bulk. Energies are from PBE.

abc: 3.4164 3.4164 8.4958
angles: 90.00 90.00 90.05
Sites, in units of the cell vectors:
Sc  0.0000  0.0000  0.9295
Ca  0.5000  0.5000  0.2500
Sc  0.0000  0.0000  0.5705
Mo  0.5000  0.5000  0.7500

The calculation puts the polymorph energy (0 for the lowest one) at 0.000 eV/atom. The calculation puts the formation energy at 0.66 eV/f.u. The total energy comes out at -6.21 eV per atom. As for the crystal system: tetragonal. The volume is 99.2 Å³ per cell.



Here is CaSc2Mo after structural relaxation from Alexandria via LeMat-Bulk. Energies are from PBE.

abc: 3.0707 3.0707 10.2440
angles: 90.00 90.00 104.97
Sites, in units of the cell vectors:
Mo  0.5000  0.5000  0.7703
Sc  0.0000  0.0000  0.9693
Sc  0.5000  0.5000  0.2306
Ca  0.0000  0.0000  0.5298

The calculation puts the polymorph energy (0 for the lowest one) at 0.241 eV/atom. The calculation puts the formation energy at 1.63 eV/f.u. The total energy comes out at -5.97 eV per atom. As for the crystal system: orthorhombic. The volume is 93.3 Å³ per cell.